Density functional theory data (PBEsol) for a geometry-optimized Te2Pt2Pb structure.

Computed properties:
raw total energy: -4.971 eV/atom
energy relative to the elements, uncorrected: 0.0249 eV/atom
relative energy among the computed polymorphs: 0.111 eV/atom
ρ: 12.14 g/cm3
spin magnetization: 0.00 μB/cell
density of states at the Fermi level: 0.619 states/eV per atom

Lattice parameters (Å, degrees): 4.5953 4.5953 6.4079 111.01 111.01 90.00
Last column: nearest neighbours and their distance in Å.
Fractional coordinates of all 5 atoms:
Pb 0.0000 0.0000 0.0000  8 Pt 3.50-3.51, 8 Te 3.59
Te 0.2500 0.7500 0.5000  4 Pt 2.72
Te 0.7500 0.2500 0.5000  4 Pt 2.72
Pt 0.3810 0.3810 0.7621  1 Pt 2.63, 4 Te 2.72
Pt 0.6190 0.6190 0.2379  1 Pt 2.63, 4 Te 2.72